# CoPtSO (GGA+U, optimized geometry)
# DFT total energy (eV/atom): -4.87
# E above lowest polymorph (eV per formula unit): 2.66
# Calculated density (g cm⁻³): 8.49
data_CoPtSO
_cell_length_a 4.341
_cell_length_b 4.341
_cell_length_c 6.267
_cell_angle_alpha 90.00
_cell_angle_beta 90.00
_cell_angle_gamma 90.00
_symmetry_space_group_name_H-M 'P 4/n m m'
_symmetry_Int_Tables_number 129
loop_
_symmetry_equiv_pos_as_xyz
'x,y,z'
'-x,-y,-z'
'-y+1/2,x,z'
'y+1/2,-x,-z'
'-x+1/2,-y+1/2,z'
'x+1/2,y+1/2,-z'
'y,-x+1/2,z'
'-y,x+1/2,-z'
'x+1/2,-y,-z'
'-x+1/2,y,z'
'-y,-x,-z'
'y,x,z'
'-x,y+1/2,-z'
'x,-y+1/2,z'
'y+1/2,x+1/2,-z'
'-y+1/2,-x+1/2,z'
loop_
_atom_site_label
_atom_site_type_symbol
_atom_site_fract_x
_atom_site_fract_y
_atom_site_fract_z
_atom_site_occupancy
Co1 Co 0.250 0.250 0.196 1
Pt1 Pt 0.250 0.250 0.781 1
S1 S 0.250 0.750 0.000 1
O1 O 0.250 0.250 0.465 1